(1)
Computed, not measured: an optimized crystal structure of TaReMo2 at the GGA-PBE level of DFT.

Summary:
Offset from the most stable computed form = 0.434 eV/atom

Cell: 9.5021 9.5021 9.5021 Å, 17.23 17.23 17.23°
Fractional positions:
Mo (0.9971, 0.9971, 0.9971)
Mo (0.2470, 0.2470, 0.2470)
Re (0.5038, 0.5038, 0.5038)
Ta (0.7522, 0.7522, 0.7522)

***

(2)
Computed, not measured: an optimized crystal structure of TaReMo2 at the GGA-PBE level of DFT.

Summary:
Offset from the most stable computed form = 0.056 eV/atom

Cell: 4.4808 2.7672 5.2760 Å, 80.02 90.00 90.00°
Fractional positions:
Mo (0.0000, 0.0064, 0.0032)
Mo (0.5000, 0.2455, 0.2484)
Re (0.0000, 0.4973, 0.5006)
Ta (0.5000, 0.7508, 0.7479)

***

(3)
Computed, not measured: an optimized crystal structure of TaReMo2 at the GGA-PBE level of DFT.

Summary:
Offset from the most stable computed form = 0.902 eV/atom

Cell: 7.2804 7.2804 5.7929 Å, 51.07 51.07 90.00°
Fractional positions:
Re (0.0000, 0.0000, 0.0000)
Re (0.7500, 0.2500, 0.5000)
Mo (0.6454, 0.1250, 0.2500)
Mo (0.1046, 0.6250, 0.2500)
Mo (0.3750, 0.3546, 0.7500)
Mo (0.8750, 0.8954, 0.7500)
Ta (0.5000, 0.5000, 0.0000)
Ta (0.2500, 0.7500, 0.5000)

***

(4)
Computed, not measured: an optimized crystal structure of TaReMo2 at the GGA-PBE level of DFT.

Summary:
Offset from the most stable computed form = 0.257 eV/atom

Cell: 4.3846 5.3948 5.5707 Å, 90.00 90.00 90.00°
Fractional positions:
Ta (0.0000, 0.0936, 0.6234)
Ta (0.0000, 0.9064, 0.1234)
Re (0.5000, 0.2511, 0.3722)
Re (0.5000, 0.7489, 0.8722)
Mo (0.0000, 0.5910, 0.6248)
Mo (0.0000, 0.4090, 0.1248)
Mo (0.5000, 0.7480, 0.3796)
Mo (0.5000, 0.2520, 0.8796)

***

(5)
Computed, not measured: an optimized crystal structure of TaReMo2 at the GGA-PBE level of DFT.

Summary:
Offset from the most stable computed form = 0.052 eV/atom

Cell: 4.4966 4.4966 4.4966 Å, 60.00 60.00 60.00°
Fractional positions:
Re (0.5000, 0.5000, 0.5000)
Mo (0.2500, 0.2500, 0.2500)
Mo (0.7500, 0.7500, 0.7500)
Ta (0.0000, 0.0000, 0.0000)

***

(6)
Computed, not measured: an optimized crystal structure of TaReMo2 at the GGA-PBE level of DFT.

Summary:
Offset from the most stable computed form = 0.423 eV/atom

Cell: 9.5464 9.5464 9.5464 Å, 17.11 17.11 17.11°
Fractional positions:
Mo (0.9951, 0.9951, 0.9951)
Mo (0.5049, 0.5049, 0.5049)
Re (0.2500, 0.2500, 0.2500)
Ta (0.7500, 0.7500, 0.7500)

***

(7)
Computed, not measured: an optimized crystal structure of TaReMo2 at the GGA-PBE level of DFT.

Summary:
Offset from the most stable computed form = 0.030 eV/atom

Cell: 5.2911 5.2784 5.2859 Å, 145.06 129.55 62.90°
Fractional positions:
Re (0.5014, 0.5015, 0.9998)
Mo (0.9979, 0.9981, 0.0004)
Mo (0.7504, 0.2500, 0.4999)
Ta (0.2503, 0.7502, 0.4999)

***

(8)
Computed, not measured: an optimized crystal structure of TaReMo3 at the GGA-PBE level of DFT.

Summary:
Offset from the most stable computed form = 2.013 eV/atom

Cell: 4.6572 4.6572 4.6572 Å, 90.00 90.00 90.00°
Fractional positions:
Re (0.5000, 0.5000, 0.5000)
Mo (0.0000, 0.5000, 0.0000)
Mo (0.0000, 0.0000, 0.5000)
Mo (0.5000, 0.0000, 0.0000)
Ta (0.0000, 0.0000, 0.0000)

***

(9)
Computed, not measured: an optimized crystal structure of Ta5Re2Mo at the GGA-PBE level of DFT.

Cell: 4.5721 5.5352 10.8368 Å, 90.00 90.00 90.00°
Fractional positions:
Ta (0.5000, 0.3368, 0.1199)
Ta (0.5000, 0.6632, 0.8801)
Ta (0.5000, 0.8368, 0.3801)
Ta (0.5000, 0.1632, 0.6199)
Ta (0.0000, 0.8440, 0.7399)
Ta (0.0000, 0.1560, 0.2601)
Ta (0.0000, 0.3440, 0.7601)
Ta (0.0000, 0.6560, 0.2399)
Ta (0.0000, 0.5000, 0.5000)
Ta (0.0000, 0.0000, 0.0000)
Re (0.5000, 0.3328, 0.3796)
Re (0.5000, 0.6672, 0.6204)
Re (0.5000, 0.1672, 0.8796)
Re (0.5000, 0.8328, 0.1204)
Mo (0.0000, 0.0000, 0.5000)
Mo (0.0000, 0.5000, 0.0000)

***

(10)
Computed, not measured: an optimized crystal structure of Ta6ReMo5 at the GGA-PBE level of DFT.

Cell: 4.5510 6.4437 7.9129 Å, 114.03 106.71 90.00°
Fractional positions:
Re (0.0000, 0.0000, 0.0000)
Mo (0.6661, 0.1661, 0.3322)
Mo (0.3334, 0.3334, 0.6667)
Mo (0.0000, 0.5000, 0.0000)
Mo (0.6666, 0.6666, 0.3333)
Mo (0.3339, 0.8339, 0.6678)
Ta (0.8339, 0.5843, 0.6677)
Ta (0.8339, 0.0835, 0.6677)
Ta (0.5000, 0.7508, 0.0000)
Ta (0.5000, 0.2492, 0.0000)
Ta (0.1661, 0.9165, 0.3323)
Ta (0.1661, 0.4157, 0.3323)

***

(11)
Computed, not measured: an optimized crystal structure of TaReTcMo at the GGA-PBE level of DFT.

Cell: 4.4767 4.4767 4.4767 Å, 60.00 60.00 60.00°
Fractional positions:
Re (0.2500, 0.2500, 0.2500)
Mo (0.5000, 0.5000, 0.5000)
Tc (0.7500, 0.7500, 0.7500)
Ta (0.0000, 0.0000, 0.0000)

***

(12)
Computed, not measured: an optimized crystal structure of TaVReMo2 at the GGA-PBE level of DFT.

Cell: 4.7438 4.4073 4.7438 Å, 90.00 90.00 90.00°
Fractional positions:
Re (0.0000, 0.0000, 0.0000)
Mo (0.0000, 0.0000, 0.5000)
Mo (0.5000, 0.0000, 0.0000)
V (0.0000, 0.5000, 0.0000)
Ta (0.5000, 0.5000, 0.5000)

***

(13)
Computed, not measured: an optimized crystal structure of Ta2ReMo6W3 at the GGA-PBE level of DFT.

Cell: 6.9443 6.9443 4.5128 Å, 109.02 109.02 87.07°
Fractional positions:
Ta (0.3333, 0.6667, 0.0000)
Ta (0.6667, 0.3333, 0.0000)
Re (0.0000, 0.0000, 0.0000)
Mo (0.9160, 0.5834, 0.7497)
Mo (0.7537, 0.7537, 0.2537)
Mo (0.0840, 0.4166, 0.2503)
Mo (0.5834, 0.9160, 0.7497)
Mo (0.2463, 0.2463, 0.7463)
Mo (0.4166, 0.0840, 0.2503)
W (0.1634, 0.8366, 0.5000)
W (0.8366, 0.1634, 0.5000)
W (0.5000, 0.5000, 0.5000)

***

(14)
Computed, not measured: an optimized crystal structure of TaRe2Mo6W2 at the GGA-PBE level of DFT.

Cell: 5.1027 5.1027 9.9531 Å, 75.15 75.15 60.00°
Fractional positions:
Ta (0.0000, 0.0000, 0.0000)
Re (0.4575, 0.4575, 0.6275)
Re (0.5425, 0.5425, 0.3725)
Mo (0.0856, 0.0856, 0.2429)
Mo (0.5860, 0.0856, 0.2429)
Mo (0.0856, 0.5860, 0.2429)
Mo (0.9144, 0.4140, 0.7571)
Mo (0.4140, 0.9144, 0.7571)
Mo (0.9144, 0.9144, 0.7571)
W (0.8321, 0.8321, 0.5037)
W (0.1679, 0.1679, 0.4963)

***

(15)
Computed, not measured: an optimized crystal structure of Ta2ReMoW6 at the GGA-PBE level of DFT.

Cell: 6.0946 6.0946 6.0946 Å, 66.90 66.90 66.90°
Fractional positions:
Ta (0.2610, 0.2610, 0.2610)
Ta (0.7616, 0.7616, 0.7616)
Re (0.4430, 0.4430, 0.4430)
Mo (0.9423, 0.9423, 0.9423)
W (0.3282, 0.1151, 0.8513)
W (0.1151, 0.8513, 0.3282)
W (0.8286, 0.3575, 0.6119)
W (0.6119, 0.8286, 0.3575)
W (0.8513, 0.3282, 0.1151)
W (0.3575, 0.6119, 0.8286)

***

(16)
Computed, not measured: an optimized crystal structure of TaZnReMo2 at the GGA-PBE level of DFT.

Cell: 4.6593 4.7098 4.6593 Å, 90.00 90.00 90.00°
Fractional positions:
Re (0.5000, 0.5000, 0.5000)
Mo (0.0000, 0.0000, 0.5000)
Mo (0.5000, 0.0000, 0.0000)
Zn (0.0000, 0.5000, 0.0000)
Ta (0.0000, 0.0000, 0.0000)

***

(17)
Computed, not measured: an optimized crystal structure of TbReMo at the GGA-PBE level of DFT.

Summary:
Offset from the most stable computed form = 0.000 eV/atom

Cell: 5.4507 5.4760 5.4760 Å, 60.55 60.15 60.15°
Fractional positions:
Tb (0.8768, 0.3732, 0.3732)
Tb (0.1232, 0.6268, 0.6268)
Re (0.0000, 0.0000, 0.0000)
Re (0.5000, 0.0000, 0.0000)
Mo (0.5000, 0.5000, 0.0000)
Mo (0.5000, 0.0000, 0.5000)

***

(18)
Computed, not measured: an optimized crystal structure of TbReMo at the GGA-PBE level of DFT.

Summary:
Offset from the most stable computed form = 0.383 eV/atom

Cell: 5.1943 5.2741 10.3806 Å, 82.92 75.51 60.50°
Fractional positions:
Mo (0.1648, 0.5000, 0.6705)
Mo (0.3352, 0.5000, 0.3295)
Mo (0.5852, 0.0000, 0.8295)
Mo (0.4148, 0.0000, 0.1705)
Re (0.6255, 0.5000, 0.7489)
Re (0.8745, 0.5000, 0.2511)
Re (0.1245, 0.0000, 0.7511)
Re (0.8755, 0.0000, 0.2489)
Tb (0.9189, 0.1623, 0.5000)
Tb (0.5811, 0.8377, 0.5000)
Tb (0.8311, 0.3377, 0.0000)
Tb (0.1689, 0.6623, 0.0000)

***

(19)
Computed, not measured: an optimized crystal structure of Tb2Re3Mo at the GGA-PBE level of DFT.

Cell: 5.4353 5.4353 5.4722 Å, 90.13 119.76 119.87°
Fractional positions:
Tb (0.7512, 0.3759, 0.1272)
Tb (0.2488, 0.6241, 0.8728)
Re (0.5000, 0.5000, 0.5000)
Re (0.0000, 0.0000, 0.5000)
Re (0.5000, 0.0000, 0.5000)
Mo (0.0000, 0.0000, 0.0000)

***

(20)
Computed, not measured: an optimized crystal structure of ReTcMo2 at the GGA-PBE level of DFT.

Summary:
Offset from the most stable computed form = 0.116 eV/atom

Cell: 9.3282 9.3282 9.3282 Å, 17.13 17.13 17.13°
Fractional positions:
Mo (0.0006, 0.0006, 0.0006)
Mo (0.4994, 0.4994, 0.4994)
Re (0.2500, 0.2500, 0.2500)
Tc (0.7500, 0.7500, 0.7500)

***

Number 1: formation enthalpy at 0 K 0.263 eV per atom, VASP energy -44.91 eV/f.u.. Number 2: formation enthalpy at 0 K -0.116 eV per atom, VASP energy -46.43 eV/f.u.. Number 3: formation enthalpy at 0 K 0.731 eV per atom, VASP energy -43.04 eV/f.u.. Number 4: formation enthalpy at 0 K 0.086 eV per atom, VASP energy -45.62 eV/f.u.. Number 5: formation enthalpy at 0 K -0.119 eV per atom, VASP energy -46.44 eV/f.u.. Number 6: formation enthalpy at 0 K 0.251 eV per atom, VASP energy -44.96 eV/f.u.. Number 7: formation enthalpy at 0 K -0.141 eV per atom, VASP energy -46.53 eV/f.u.. Number 8: formation enthalpy at 0 K 2.233 eV per atom, VASP energy -45.63 eV/f.u.. Number 9: formation enthalpy at 0 K -0.171 eV per atom, VASP energy -96.36 eV/f.u.. Number 10: formation enthalpy at 0 K -0.255 eV per atom, VASP energy -140.78 eV/f.u.. Number 11: formation enthalpy at 0 K -0.157 eV per atom, VASP energy -46.12 eV/f.u.. Number 12: formation enthalpy at 0 K 1.494 eV per atom, VASP energy -47.61 eV/f.u.. Number 13: formation enthalpy at 0 K -0.082 eV per atom, VASP energy -140.98 eV/f.u.. Number 14: formation enthalpy at 0 K 0.931 eV per atom, VASP energy -117.40 eV/f.u.. Number 15: formation enthalpy at 0 K 0.915 eV per atom, VASP energy -115.55 eV/f.u.. Number 16: formation enthalpy at 0 K 2.264 eV per atom, VASP energy -35.92 eV/f.u.. Number 17: formation enthalpy at 0 K -0.064 eV per atom, VASP energy -28.10 eV/f.u.. Number 18: formation enthalpy at 0 K 0.319 eV per atom, VASP energy -26.95 eV/f.u.. Number 19: formation enthalpy at 0 K -0.127 eV per atom, VASP energy -58.20 eV/f.u.. Number 20: formation enthalpy at 0 K 0.199 eV per atom, VASP energy -43.68 eV/f.u..